Below is an optimized crystal structure of Pa2AlGa4Ni3, with properties calculated at the GGA-PBE level.

Computed properties:
Formation energy   -0.47 eV/atom
D(E_F)   0.4042 states/eV per atom

Unit cell a=3.9693 b=3.9693 c=10.6245 alpha=90.00 beta=90.00 gamma=90.00
Element x y z (fractional)
Pa1 0.0000 0.5000 0.2379
Pa2 0.5000 0.0000 0.7621
Al1 0.0000 0.0000 0.5000
Ga1 0.0000 0.0000 0.0000
Ga2 0.0000 0.5000 0.6415
Ga3 0.5000 0.0000 0.3585
Ga4 0.5000 0.5000 0.0000
Ni1 0.0000 0.5000 0.8610
Ni2 0.5000 0.0000 0.1390
Ni3 0.5000 0.5000 0.5000

Below is an optimized crystal structure of Cd2AuSe, with properties calculated at the GGA-PBE level.

Computed properties:
D(E_F)   0.2760 states/eV per atom
Raw formation energy   -6.1 kJ per mole of atoms

Unit cell a=7.0790 b=6.6555 c=3.6774 alpha=90.00 beta=97.60 gamma=90.00
Element x y z (fractional)
Cd1 0.2500 0.2500 0.0000
Cd2 0.2500 0.7500 0.0000
Cd3 0.7500 0.2500 0.0000
Cd4 0.7500 0.7500 0.0000
Au1 0.0000 0.0000 0.5000
Au2 0.5000 0.5000 0.5000
Se1 0.0000 0.5000 0.5000
Se2 0.5000 0.0000 0.5000

Below is an optimized crystal structure of CaIn2Tc2, with properties calculated at the GGA-PBE level.

Computed properties:
Formation energy   0.16 eV/atom
D(E_F)   0.9174 states/eV per atom

Unit cell a=8.1317 b=8.1317 c=3.1043 alpha=90.00 beta=90.00 gamma=90.00
Element x y z (fractional)
Ca1 0.0000 0.0000 0.0000
Ca2 0.5000 0.5000 0.0000
In1 0.1849 0.3151 0.5000
In2 0.3151 0.8151 0.5000
In3 0.6849 0.1849 0.5000
In4 0.8151 0.6849 0.5000
Tc1 0.1025 0.6025 0.0000
Tc2 0.3975 0.1025 0.0000
Tc3 0.6025 0.8975 0.0000
Tc4 0.8975 0.3975 0.0000

Below is an optimized crystal structure of Sc4BiAuC, with properties calculated at the GGA-PBE level.

Computed properties:
Formation energy   -0.65 eV/atom
D(E_F)   0.5979 states/eV per atom

Unit cell a=7.8953 b=7.8953 c=6.3444 alpha=90.00 beta=90.00 gamma=132.35
Element x y z (fractional)
Sc1 0.0000 0.5000 0.0000
Sc2 0.0000 0.5000 0.5000
Sc3 0.0815 0.9185 0.7500
Sc4 0.4015 0.5985 0.7500
Sc5 0.5000 0.0000 0.0000
Sc6 0.5000 0.0000 0.5000
Sc7 0.5985 0.4015 0.2500
Sc8 0.9185 0.0815 0.2500
Bi1 0.3950 0.6050 0.2500
Bi2 0.6050 0.3950 0.7500
Au1 0.1157 0.8843 0.2500
Au2 0.8843 0.1157 0.7500
C1 0.2468 0.7532 0.7500
C2 0.7532 0.2468 0.2500

Below is an optimized crystal structure of TaPt4Cl, with properties calculated at the GGA-PBE level.

Computed properties:
D(E_F)   0.9748 states/eV per atom
Raw formation energy   15.6 kJ per mole of atoms

Unit cell a=5.2820 b=5.2820 c=5.2820 alpha=60.00 beta=60.00 gamma=60.00
Element x y z (fractional)
Ta1 0.0000 0.0000 0.0000
Pt1 0.1244 0.6252 0.6252
Pt2 0.6252 0.1244 0.6252
Pt3 0.6252 0.6252 0.1244
Pt4 0.6252 0.6252 0.6252
Cl1 0.2500 0.2500 0.2500

Below is an optimized crystal structure of HfB2MoC, with properties calculated at the GGA-PBE level.

Computed properties:
Formation energy   1.08 eV/atom
D(E_F)   0.3925 states/eV per atom

Unit cell a=3.8203 b=3.8203 c=3.9854 alpha=90.00 beta=90.00 gamma=90.00
Element x y z (fractional)
Hf1 0.0000 0.0000 0.0000
B1 0.0000 0.5000 0.5000
B2 0.5000 0.0000 0.5000
Mo1 0.5000 0.5000 0.0000
C1 0.5000 0.5000 0.5000

Below is an optimized crystal structure of Rb2ErNp2S6, with properties calculated at the GGA-PBE level.

Computed properties:
D(E_F)   1.6819 states/eV per atom
Raw formation energy   -150.4 kJ per mole of atoms

Unit cell a=6.9740 b=6.9740 c=8.1737 alpha=98.06 beta=98.06 gamma=120.03
Element x y z (fractional)
Rb1 0.1658 0.8342 0.0000
Rb2 0.8342 0.1658 0.0000
Er1 0.0000 0.0000 0.5000
Np1 0.3341 0.6659 0.5000
Np2 0.6659 0.3341 0.5000
S1 0.0590 0.3952 0.6841
S2 0.2716 0.2716 0.3154
S3 0.3952 0.0590 0.6841
S4 0.6048 0.9410 0.3159
S5 0.7284 0.7284 0.6846
S6 0.9410 0.6048 0.3159

Below is an optimized crystal structure of BaAgTe, with properties calculated at the GGA-PBE level.

Computed properties:
D(E_F)   0.5847 states/eV per atom
Energy above the lowest structure with this stoichiometry   0.45 eV/f.u.
Raw formation energy   -62.6 kJ per mole of atoms

Unit cell a=4.6529 b=4.6529 c=9.8479 alpha=90.00 beta=90.00 gamma=90.00
Element x y z (fractional)
Ba1 0.0000 0.0000 0.0000
Ba2 0.5000 0.5000 0.5000
Ag1 0.0000 0.0000 0.3390
Ag2 0.5000 0.5000 0.8390
Te1 0.0000 0.0000 0.6308
Te2 0.5000 0.5000 0.1308

Below is an optimized crystal structure of LiZnSb2, with properties calculated at the GGA-PBE level.

Computed properties:
D(E_F)   0.6978 states/eV per atom
Raw formation energy   -8.5 kJ per mole of atoms

Unit cell a=4.6427 b=4.6427 c=4.0579 alpha=90.00 beta=90.00 gamma=90.00
Element x y z (fractional)
Li1 0.0000 0.0000 0.0000
Zn1 0.5000 0.5000 0.0000
Sb1 0.0000 0.5000 0.5000
Sb2 0.5000 0.0000 0.5000

Below is an optimized crystal structure of Rb2HfCdTe, with properties calculated at the GGA-PBE level.

Computed properties:
D(E_F)   1.0510 states/eV per atom
Raw formation energy   28.2 kJ per mole of atoms

Unit cell a=7.0398 b=7.0398 c=5.4772 alpha=90.00 beta=90.00 gamma=90.00
Element x y z (fractional)
Rb1 0.0000 0.5000 0.0000
Rb2 0.5000 0.0000 0.0000
Hf1 0.0000 0.0000 0.5000
Cd1 0.5000 0.5000 0.5000
Te1 0.0000 0.0000 0.0000

Below is an optimized crystal structure of ReSb2As, with properties calculated at the GGA-PBE level.

Computed properties:
D(E_F)   0.6224 states/eV per atom
Raw formation energy   48.8 kJ per mole of atoms

Unit cell a=3.2471 b=5.2529 c=10.5053 alpha=90.00 beta=90.00 gamma=90.00
Element x y z (fractional)
Re1 0.0000 0.0000 0.0000
Re2 0.5000 0.5000 0.0000
Sb1 0.0000 0.0000 0.5220
Sb2 0.0000 0.5000 0.2233
Sb3 0.5000 0.0000 0.2233
Sb4 0.5000 0.5000 0.5220
As1 0.0000 0.5000 0.8243
As2 0.5000 0.0000 0.8243

Below is an optimized crystal structure of Tb2BeOs2, with properties calculated at the GGA-PBE level.

Computed properties:
Formation energy   -0.23 eV/atom
D(E_F)   0.8256 states/eV per atom

Unit cell a=4.2050 b=5.1354 c=9.0452 alpha=90.00 beta=90.00 gamma=90.00
Element x y z (fractional)
Tb1 0.0000 0.0000 0.1913
Tb2 0.0000 0.0000 0.8087
Tb3 0.5000 0.5000 0.3087
Tb4 0.5000 0.5000 0.6913
Be1 0.0000 0.5000 0.0000
Be2 0.5000 0.0000 0.5000
Os1 0.0000 0.2537 0.5000
Os2 0.0000 0.7463 0.5000
Os3 0.5000 0.2463 0.0000
Os4 0.5000 0.7537 0.0000

Below is an optimized crystal structure of BeRhBr2, with properties calculated at the GGA-PBE level.

Computed properties:
D(E_F)   0.3685 states/eV per atom
Energy above the lowest structure with this stoichiometry   1.97 eV/f.u.
Raw formation energy   8.5 kJ per mole of atoms

Unit cell a=3.6697 b=4.3004 c=13.3748 alpha=90.00 beta=90.00 gamma=90.00
Element x y z (fractional)
Be1 0.0000 0.0000 0.0000
Be2 0.5000 0.5000 0.5000
Rh1 0.0000 0.5000 0.0181
Rh2 0.5000 0.0000 0.5181
Br1 0.0000 0.0000 0.3878
Br2 0.0000 0.5000 0.6131
Br3 0.5000 0.0000 0.1131
Br4 0.5000 0.5000 0.8878

Below is an optimized crystal structure of AgPSe, with properties calculated at the GGA-PBE level.

Computed properties:
D(E_F)   0.7674 states/eV per atom
Raw formation energy   51.6 kJ per mole of atoms

Unit cell a=2.9150 b=2.9150 c=8.1012 alpha=90.00 beta=90.00 gamma=120.00
Element x y z (fractional)
Ag1 0.0000 0.0000 0.0000
P1 0.6667 0.3333 0.2644
Se1 0.3333 0.6667 0.6965

Below is an optimized crystal structure of Cs7Se2F2, with properties calculated at the GGA-PBE level.

Computed properties:
D(E_F)   0.3072 states/eV per atom
Raw formation energy   -135.8 kJ per mole of atoms

Unit cell a=9.4730 b=9.4730 c=8.8821 alpha=90.00 beta=90.00 gamma=118.84
Element x y z (fractional)
Cs1 0.0000 0.0000 0.0000
Cs2 0.0000 0.5000 0.2617
Cs3 0.0000 0.5000 0.7383
Cs4 0.5000 0.0000 0.2617
Cs5 0.5000 0.0000 0.7383
Cs6 0.5000 0.5000 0.2354
Cs7 0.5000 0.5000 0.7646
Se1 0.3249 0.6751 0.5000
Se2 0.6751 0.3249 0.5000
F1 0.2893 0.2893 0.0000
F2 0.7107 0.7107 0.0000

Below is an optimized crystal structure of SrY2Co, with properties calculated at the GGA-PBE level.

Computed properties:
Formation energy   0.02 eV/atom
D(E_F)   0.8705 states/eV per atom
Energy above the lowest structure with this stoichiometry   0.10 eV/f.u.

Unit cell a=4.8963 b=4.9053 c=9.8318 alpha=90.00 beta=90.00 gamma=90.00
Element x y z (fractional)
Sr1 0.0000 0.0000 0.0000
Sr2 0.5000 0.5000 0.0000
Y1 0.0000 0.5000 0.3376
Y2 0.0000 0.5000 0.6624
Y3 0.5000 0.0000 0.3376
Y4 0.5000 0.0000 0.6624
Co1 0.0000 0.0000 0.5000
Co2 0.5000 0.5000 0.5000

Below is an optimized crystal structure of Ce2Pm3PuN6, with properties calculated at the GGA-PBE level.

Computed properties:
D(E_F)   1.0133 states/eV per atom
Raw formation energy   -138.4 kJ per mole of atoms

Unit cell a=6.1857 b=6.1857 c=6.1918 alpha=99.61 beta=99.61 gamma=120.00
Element x y z (fractional)
Ce1 0.1666 0.8334 0.0000
Ce2 0.8334 0.1666 0.0000
Pm1 0.0000 0.0000 0.5000
Pm2 0.3333 0.6667 0.5000
Pm3 0.6667 0.3333 0.5000
Pu1 0.5000 0.5000 0.0000
N1 0.0938 0.4217 0.7648
N2 0.2502 0.2502 0.2368
N3 0.4217 0.0938 0.7648
N4 0.5783 0.9062 0.2352
N5 0.7498 0.7498 0.7632
N6 0.9062 0.5783 0.2352

Below is an optimized crystal structure of Zn2BiMo2, with properties calculated at the GGA-PBE level.

Computed properties:
Formation energy   0.50 eV/atom
D(E_F)   0.7324 states/eV per atom

Unit cell a=3.7859 b=3.7859 c=13.0633 alpha=90.00 beta=90.00 gamma=90.00
Element x y z (fractional)
Zn1 0.0000 0.0000 0.1004
Zn2 0.0000 0.0000 0.8996
Zn3 0.5000 0.5000 0.3996
Zn4 0.5000 0.5000 0.6004
Bi1 0.0000 0.0000 0.5000
Bi2 0.5000 0.5000 0.0000
Mo1 0.0000 0.5000 0.2500
Mo2 0.0000 0.5000 0.7500
Mo3 0.5000 0.0000 0.2500
Mo4 0.5000 0.0000 0.7500

Below is an optimized crystal structure of Zn2BiPO6, with properties calculated at the GGA-PBE level.

Computed properties:
D(E_F)   0.0000 states/eV per atom
Raw formation energy   -164.9 kJ per mole of atoms

Unit cell a=12.1336 b=5.3405 c=7.9258 alpha=90.00 beta=90.00 gamma=90.00
Element x y z (fractional)
Zn1 0.0918 0.2500 0.2023
Zn2 0.1038 0.2500 0.8061
Zn3 0.3962 0.7500 0.3061
Zn4 0.4082 0.7500 0.7023
Zn5 0.5918 0.2500 0.2977
Zn6 0.6038 0.2500 0.6939
Zn7 0.8962 0.7500 0.1939
Zn8 0.9082 0.7500 0.7977
Bi1 0.0981 0.7500 0.4837
Bi2 0.4019 0.2500 0.9837
Bi3 0.5981 0.7500 0.0163
Bi4 0.9019 0.2500 0.5163
P1 0.1997 0.7500 0.0293
P2 0.3003 0.2500 0.5293
P3 0.6997 0.7500 0.4707
P4 0.8003 0.2500 0.9707
O1 0.0073 0.0022 0.6735
O2 0.0073 0.4978 0.6735
O3 0.1284 0.5066 0.0077
O4 0.1284 0.9934 0.0077
O5 0.2041 0.2500 0.4027
O6 0.2424 0.7500 0.2140
O7 0.2576 0.2500 0.7140
O8 0.2959 0.7500 0.9027
O9 0.3716 0.0066 0.5077
O10 0.3716 0.4934 0.5077
O11 0.4927 0.5022 0.1735
O12 0.4927 0.9978 0.1735
O13 0.5073 0.0022 0.8265
O14 0.5073 0.4978 0.8265
O15 0.6284 0.5066 0.4923
O16 0.6284 0.9934 0.4923
O17 0.7041 0.2500 0.0973
O18 0.7424 0.7500 0.2860
O19 0.7576 0.2500 0.7860
O20 0.7959 0.7500 0.5973
O21 0.8716 0.0066 0.9923
O22 0.8716 0.4934 0.9923
O23 0.9927 0.5022 0.3265
O24 0.9927 0.9978 0.3265

Below is an optimized crystal structure of CuAs2Br, with properties calculated at the GGA-PBE level.

Computed properties:
D(E_F)   0.3800 states/eV per atom
Energy above the lowest structure with this stoichiometry   1.09 eV/f.u.
Raw formation energy   23.8 kJ per mole of atoms

Unit cell a=3.6339 b=5.9405 c=8.3025 alpha=90.00 beta=90.00 gamma=90.00
Element x y z (fractional)
Cu1 0.0000 0.0000 0.0000
Cu2 0.5000 0.5000 0.0000
As1 0.0000 0.0000 0.4360
As2 0.0000 0.5000 0.2223
As3 0.5000 0.0000 0.2223
As4 0.5000 0.5000 0.4360
Br1 0.0000 0.5000 0.8076
Br2 0.5000 0.0000 0.8076